First-principles (GGA-PBE) data for TlIn2Ru after structural relaxation, as listed in the Alexandria database.

Results
Space-group type ... No. 139
Volume ... 20.667 Å³/atom
ΔH_f (0 K) ... 373 meV/atom
E_tot ... -3.9070 eV per atom
Energy above the most stable polymorph in this dataset ... 1.10 eV per formula unit

abc: 5.3497 5.3497 5.3497
angles: 132.08 132.08 70.10
Sites, in units of the cell vectors:
Ru1 0.2500 0.7500 0.5000
Tl1 0.7500 0.2500 0.5000
In1 0.5000 0.5000 0.0000
In2 0.0000 0.0000 0.0000